Entry 1:
Material: Ba2Ag2SnO6
Method: DFT, PBE
State: relaxed

Calculated values
Its raw total energy is -0.19317 Ha/atom. As for the density of states at the Fermi level: 5.37 states/eV/cell. The total magnetic moment is 1.949 Bohr magnetons per cell. The value obtained for the energy relative to the elements, uncorrected is -1320 meV per atom.

a = 6.6929 Å, b = 6.6929 Å, c = 6.6929 Å
α = 56.37°, β = 56.37°, γ = 56.37°
Positions (direct):
Ba 0.2153 0.2153 0.2153
Ba 0.7847 0.7847 0.7847
Ag 0.4126 0.4126 0.4126
Ag 0.5874 0.5874 0.5874
Sn 0.0000 0.0000 0.0000
O 0.2014 0.7742 0.7742
O 0.2258 0.2258 0.7986
O 0.2258 0.7986 0.2258
O 0.7742 0.2014 0.7742
O 0.7742 0.7742 0.2014
O 0.7986 0.2258 0.2258

---

Entry 2:
Material: Ba4AgSn3O12
Method: DFT, PBE
State: relaxed

Calculated values
Its raw total energy is -0.21823 Ha/atom. As for the density of states at the Fermi level: 6.39 states/eV/cell. The total magnetic moment is 0.745 Bohr magnetons per cell. The value obtained for the energy relative to the elements, uncorrected is -1836 meV per atom.

a = 7.2745 Å, b = 7.2745 Å, c = 7.2745 Å
α = 109.47°, β = 109.47°, γ = 109.47°
Positions (direct):
Ba 0.0000 0.0000 0.5000
Ba 0.0000 0.5000 0.0000
Ba 0.5000 0.0000 0.0000
Ba 0.5000 0.5000 0.5000
Ag 0.0000 0.0000 0.0000
Sn 0.0000 0.5000 0.5000
Sn 0.5000 0.0000 0.5000
Sn 0.5000 0.5000 0.0000
O 0.0000 0.2551 0.2551
O 0.0000 0.7449 0.7449
O 0.2500 0.5000 0.7500
O 0.2500 0.7500 0.5000
O 0.2551 0.0000 0.2551
O 0.2551 0.2551 0.0000
O 0.5000 0.2500 0.7500
O 0.5000 0.7500 0.2500
O 0.7449 0.0000 0.7449
O 0.7449 0.7449 0.0000
O 0.7500 0.2500 0.5000
O 0.7500 0.5000 0.2500

---

Entry 3:
Material: Ba3AgSn2O9
Method: DFT, PBE
State: relaxed

Calculated values
Its raw total energy is -0.21428 Ha/atom. As for the density of states at the Fermi level: 6.28 states/eV/cell. The total magnetic moment is 0.000 Bohr magnetons per cell. The value obtained for the energy relative to the elements, uncorrected is -1748 meV per atom.

a = 5.9337 Å, b = 5.9337 Å, c = 7.2974 Å
α = 90.00°, β = 90.00°, γ = 120.00°
Positions (direct):
Ba 0.0000 0.0000 0.0000
Ba 0.3333 0.6667 0.6556
Ba 0.6667 0.3333 0.3444
Ag 0.0000 0.0000 0.5000
Sn 0.3333 0.6667 0.1614
Sn 0.6667 0.3333 0.8386
O 0.0000 0.5000 0.0000
O 0.1703 0.3407 0.3321
O 0.1703 0.8297 0.3321
O 0.3407 0.1703 0.6679
O 0.5000 0.0000 0.0000
O 0.5000 0.5000 0.0000
O 0.6593 0.8297 0.3321
O 0.8297 0.1703 0.6679
O 0.8297 0.6593 0.6679

---

Entry 4:
Material: Ba3Ag2SnO6
Method: DFT, PBE
State: relaxed

Calculated values
Its raw total energy is -0.19665 Ha/atom. As for the density of states at the Fermi level: 3.74 states/eV/cell. The total magnetic moment is 0.000 Bohr magnetons per cell. The value obtained for the energy relative to the elements, uncorrected is -1583 meV per atom.

a = 6.1939 Å, b = 6.1939 Å, c = 6.8001 Å
α = 90.00°, β = 90.00°, γ = 120.00°
Positions (direct):
Ba 0.0000 0.0000 0.0000
Ba 0.3333 0.6667 0.6195
Ba 0.6667 0.3333 0.3805
Ag 0.3333 0.6667 0.1332
Ag 0.6667 0.3333 0.8668
Sn 0.0000 0.0000 0.5000
O 0.1597 0.3194 0.3194
O 0.1597 0.8403 0.3194
O 0.3194 0.1597 0.6806
O 0.6806 0.8403 0.3194
O 0.8403 0.1597 0.6806
O 0.8403 0.6806 0.6806

---

Entry 5:
Material: BaSrAgO3
Method: DFT, PBE
State: relaxed

Calculated values
Its raw total energy is -0.19091 Ha/atom. As for the density of states at the Fermi level: 8.28 states/eV/cell. The total magnetic moment is 2.005 Bohr magnetons per cell. The value obtained for the energy relative to the elements, uncorrected is -1640 meV per atom.

a = 7.7985 Å, b = 3.6489 Å, c = 8.5384 Å
α = 90.00°, β = 95.84°, γ = 90.00°
Positions (direct):
Ba 0.1623 0.2500 0.1907
Ba 0.8377 0.7500 0.8093
Sr 0.3697 0.7500 0.8492
Sr 0.6303 0.2500 0.1508
Ag 0.1294 0.2500 0.5955
Ag 0.8706 0.7500 0.4045
O 0.1307 0.2500 0.8531
O 0.1748 0.7500 0.4492
O 0.4044 0.7500 0.1319
O 0.5956 0.2500 0.8681
O 0.8252 0.2500 0.5508
O 0.8693 0.7500 0.1469

---

Entry 6:
Material: BaSr2AgO4
Method: DFT, PBE
State: relaxed

Calculated values
Its raw total energy is -0.19971 Ha/atom. As for the density of states at the Fermi level: 11.44 states/eV/cell. The total magnetic moment is 2.058 Bohr magnetons per cell. The value obtained for the energy relative to the elements, uncorrected is -1938 meV per atom.

a = 6.5330 Å, b = 6.5330 Å, c = 12.5411 Å
α = 90.00°, β = 90.00°, γ = 147.05°
Positions (direct):
Ba 0.1171 0.8829 0.7500
Ba 0.8829 0.1171 0.2500
Sr 0.3723 0.6277 0.5465
Sr 0.3723 0.6277 0.9535
Sr 0.6277 0.3723 0.0465
Sr 0.6277 0.3723 0.4535
Ag 0.1484 0.8516 0.2500
Ag 0.8516 0.1484 0.7500
O 0.0000 0.0000 0.0000
O 0.0000 0.0000 0.5000
O 0.2674 0.7326 0.1194
O 0.2674 0.7326 0.3806
O 0.4541 0.5459 0.7500
O 0.5459 0.4541 0.2500
O 0.7326 0.2674 0.6194
O 0.7326 0.2674 0.8806

---

Entry 7:
Material: Ba2SrAg3O6
Method: DFT, PBE
State: relaxed

Calculated values
Its raw total energy is -0.18443 Ha/atom. As for the density of states at the Fermi level: 6.67 states/eV/cell. The total magnetic moment is 0.350 Bohr magnetons per cell. The value obtained for the energy relative to the elements, uncorrected is -1366 meV per atom.

a = 4.1484 Å, b = 4.1484 Å, c = 12.6924 Å
α = 90.00°, β = 90.00°, γ = 90.00°
Positions (direct):
Ba 0.0000 0.0000 0.2066
Ba 0.0000 0.0000 0.7934
Sr 0.0000 0.0000 0.5000
Ag 0.5000 0.5000 0.0000
Ag 0.5000 0.5000 0.3648
Ag 0.5000 0.5000 0.6352
O 0.0000 0.5000 0.3668
O 0.0000 0.5000 0.6332
O 0.5000 0.0000 0.3668
O 0.5000 0.0000 0.6332
O 0.5000 0.5000 0.1597
O 0.5000 0.5000 0.8403

---

Entry 8:
Material: Ba2SrAgO4
Method: DFT, PBE
State: relaxed

Calculated values
Its raw total energy is -0.19586 Ha/atom. As for the density of states at the Fermi level: 9.98 states/eV/cell. The total magnetic moment is 2.182 Bohr magnetons per cell. The value obtained for the energy relative to the elements, uncorrected is -1803 meV per atom.

a = 6.6533 Å, b = 6.6533 Å, c = 13.0277 Å
α = 90.00°, β = 90.00°, γ = 147.18°
Positions (direct):
Ba 0.1287 0.8713 0.5491
Ba 0.1287 0.8713 0.9509
Ba 0.8713 0.1287 0.0491
Ba 0.8713 0.1287 0.4509
Sr 0.3924 0.6076 0.7500
Sr 0.6076 0.3924 0.2500
Ag 0.3401 0.6599 0.2500
Ag 0.6599 0.3401 0.7500
O 0.0441 0.9559 0.7500
O 0.2136 0.7864 0.1361
O 0.2136 0.7864 0.3639
O 0.5000 0.5000 0.0000
O 0.5000 0.5000 0.5000
O 0.7864 0.2136 0.6361
O 0.7864 0.2136 0.8639
O 0.9559 0.0441 0.2500

---

Entry 9:
Material: Ba3Ta2AgO8
Method: DFT, PBE
State: relaxed

Calculated values
Its raw total energy is -0.27943 Ha/atom. As for the density of states at the Fermi level: 3.72 states/eV/cell. The total magnetic moment is 0.063 Bohr magnetons per cell. The value obtained for the energy relative to the elements, uncorrected is -2461 meV per atom.

a = 6.0730 Å, b = 6.0730 Å, c = 8.7799 Å
α = 90.00°, β = 90.00°, γ = 120.00°
Positions (direct):
Ba 0.0000 0.0000 0.0000
Ba 0.3333 0.6667 0.6794
Ba 0.6667 0.3333 0.3206
Ta 0.3333 0.6667 0.1745
Ta 0.6667 0.3333 0.8255
Ag 0.0000 0.0000 0.5000
O 0.1685 0.3370 0.2520
O 0.1685 0.8315 0.2520
O 0.3333 0.6667 0.9605
O 0.3370 0.1685 0.7480
O 0.6630 0.8315 0.2520
O 0.6667 0.3333 0.0395
O 0.8315 0.1685 0.7480
O 0.8315 0.6630 0.7480

---

Entry 10:
Material: Ba2TaAg2O6
Method: DFT, PBE
State: relaxed

Calculated values
Its raw total energy is -0.23852 Ha/atom. As for the density of states at the Fermi level: 9.17 states/eV/cell. The total magnetic moment is 1.047 Bohr magnetons per cell. The value obtained for the energy relative to the elements, uncorrected is -1840 meV per atom.

a = 6.5613 Å, b = 6.5613 Å, c = 6.5613 Å
α = 58.17°, β = 58.17°, γ = 58.17°
Positions (direct):
Ba 0.2156 0.2156 0.2156
Ba 0.7844 0.7844 0.7844
Ta 0.0000 0.0000 0.0000
Ag 0.4138 0.4138 0.4138
Ag 0.5862 0.5862 0.5862
O 0.2021 0.7814 0.7814
O 0.2186 0.2186 0.7979
O 0.2186 0.7979 0.2186
O 0.7814 0.2021 0.7814
O 0.7814 0.7814 0.2021
O 0.7979 0.2186 0.2186

---

Entry 11:
Material: BaTa2AgO7
Method: DFT, PBE
State: relaxed

Calculated values
Its raw total energy is -0.29739 Ha/atom. As for the density of states at the Fermi level: 2.08 states/eV/cell. The total magnetic moment is 0.960 Bohr magnetons per cell. The value obtained for the energy relative to the elements, uncorrected is -2348 meV per atom.

a = 10.3046 Å, b = 10.3046 Å, c = 10.3046 Å
α = 157.49°, β = 157.49°, γ = 32.04°
Positions (direct):
Ba 0.0000 0.0000 0.0000
Ta 0.3902 0.3902 0.0000
Ta 0.6098 0.6098 0.0000
Ag 0.7500 0.2500 0.5000
O 0.0992 0.5992 0.5000
O 0.2940 0.2940 0.0000
O 0.4008 0.9008 0.5000
O 0.5000 0.5000 0.0000
O 0.6028 0.1028 0.5000
O 0.7060 0.7060 0.0000
O 0.8972 0.3972 0.5000

---

Entry 12:
Material: BaTaAg2O4
Method: DFT, PBE
State: relaxed

Calculated values
Its raw total energy is -0.24360 Ha/atom. As for the density of states at the Fermi level: 1.78 states/eV/cell. The total magnetic moment is 0.000 Bohr magnetons per cell. The value obtained for the energy relative to the elements, uncorrected is -1715 meV per atom.

a = 6.3104 Å, b = 6.3104 Å, c = 7.2156 Å
α = 90.00°, β = 90.00°, γ = 90.00°
Positions (direct):
Ba 0.0000 0.0000 0.0000
Ba 0.5000 0.5000 0.5000
Ta 0.0000 0.0000 0.5000
Ta 0.5000 0.5000 0.0000
Ag 0.0000 0.5000 0.2500
Ag 0.0000 0.5000 0.7500
Ag 0.5000 0.0000 0.2500
Ag 0.5000 0.0000 0.7500
O 0.1674 0.1674 0.3405
O 0.1674 0.8326 0.6595
O 0.3326 0.3326 0.8405
O 0.3326 0.6674 0.1595
O 0.6674 0.3326 0.1595
O 0.6674 0.6674 0.8405
O 0.8326 0.1674 0.6595
O 0.8326 0.8326 0.3405